Entry 1:
# LiTe2

An optimized crystal structure of LiTe2 (PBE, Alexandria via LeMat-Bulk).

Calculated values
Formation energy (no corrections) in meV per atom: -103
Total magnetic moment in μB/atom: 0.01
DOS(E_F) in states/eV per cell: 8.211
Energy relative to the lowest polymorph listed for this composition in eV/atom: 0.359

Lattice parameters (Å, degrees): 5.942 5.942 14.221 90.00 90.00 120.00
Fractional positions:
Te: 0.167 0.833 0.750
Te: 0.333 0.167 0.250
Li: 0.667 0.333 0.071
Te: 0.000 0.000 0.500
Li: 0.333 0.667 0.571
Te: 0.167 0.333 0.750
Te: 0.000 0.000 0.000
Li: 0.333 0.667 0.929
Te: 0.667 0.833 0.750
Te: 0.833 0.667 0.250
Te: 0.833 0.167 0.250
Li: 0.667 0.333 0.429

***

Entry 2:
# PaPd12Pt7

An optimized crystal structure of PaPd12Pt7 (PBE, Alexandria via LeMat-Bulk).

Calculated values
Total magnetic moment in μB/atom: 0.00
Formation enthalpy at 0 K in eV per atom: -0.071
DOS(E_F) in states/eV per cell: 27.549

Lattice parameters (Å, degrees): 7.764 7.764 7.764 110.80 110.80 110.80
Fractional positions:
Pt: 0.574 0.895 0.854
Pt: 0.500 0.500 0.500
Pd: 0.466 0.508 0.830
Pd: 0.226 0.672 0.912
Pt: 0.426 0.105 0.146
Pd: 0.672 0.912 0.226
Pd: 0.170 0.534 0.492
Pd: 0.912 0.226 0.672
Pd: 0.088 0.774 0.328
Pt: 0.146 0.426 0.105
Pd: 0.508 0.830 0.466
Pt: 0.105 0.146 0.426
Pd: 0.492 0.170 0.534
Pd: 0.774 0.328 0.088
Pt: 0.895 0.854 0.574
Pa: 0.000 0.000 0.000
Pd: 0.534 0.492 0.170
Pt: 0.854 0.574 0.895
Pd: 0.328 0.088 0.774
Pd: 0.830 0.466 0.508

***

Entry 3:
# Ac2La2Sm3

An optimized crystal structure of Ac2La2Sm3 (PBE, Alexandria via LeMat-Bulk).

Calculated values
Total magnetic moment in μB/atom: 0.00
Formation enthalpy at 0 K in eV per atom: 0.107
DOS(E_F) in states/eV per cell: 10.907
Energy relative to the lowest polymorph listed for this composition in eV/atom: 0.000

Lattice parameters (Å, degrees): 3.714 9.002 9.361 118.31 101.44 90.00
Fractional positions:
Sm: 0.789 0.192 0.577
Sm: 0.211 0.808 0.423
La: 0.567 0.906 0.134
La: 0.433 0.094 0.866
Ac: 0.854 0.669 0.707
Ac: 0.146 0.331 0.293
Sm: 0.000 0.500 0.000

***

Entry 4:
# KRbI2N

An optimized crystal structure of KRbI2N (PBE, Alexandria via LeMat-Bulk).

Calculated values
Formation energy (no corrections) in meV per atom: 48
Total magnetic moment in μB/atom: 0.60
DOS(E_F) in states/eV per cell: 3.640
Energy relative to the lowest polymorph listed for this composition in eV/atom: 0.086

Lattice parameters (Å, degrees): 6.909 6.909 5.651 90.00 90.00 90.00
Fractional positions:
I: 0.500 0.000 0.000
N: 0.000 0.000 0.500
K: 0.500 0.500 0.500
Rb: 0.000 0.000 0.000
I: 0.000 0.500 0.000

***

Entry 5:
# Cs2NaCdCl4

An optimized crystal structure of Cs2NaCdCl4 (PBE, Alexandria via LeMat-Bulk).

Calculated values
Formation energy (no corrections) in meV per atom: -1436
Total magnetic moment in μB/atom: 0.11
DOS(E_F) in states/eV per cell: 5.996

Lattice parameters (Å, degrees): 6.358 8.256 12.755 84.49 75.57 67.35
Fractional positions:
Cl: 0.165 0.230 0.888
Cs: 0.571 0.500 0.858
Cl: 0.605 0.230 0.112
Cl: 0.803 0.730 0.612
Cs: 0.929 0.500 0.142
Cl: 0.947 0.770 0.888
Na: 0.000 0.000 0.000
Cd: 0.250 0.500 0.500
Cl: 0.282 0.770 0.112
Cl: 0.145 0.270 0.388
Cd: 0.500 0.000 0.000
Cl: 0.585 0.270 0.612
Cs: 0.821 0.000 0.358
Cs: 0.179 0.000 0.642
Cl: 0.468 0.730 0.388
Na: 0.750 0.500 0.500

***

Entry 6:
# B4H

An optimized crystal structure of B4H (PBE, Alexandria via LeMat-Bulk).

Calculated values
Total magnetic moment in μB/atom: 0.00
DOS(E_F) in states/eV per cell: 1.876
DFT total energy in Ha/atom: -0.158

Lattice parameters (Å, degrees): 3.018 3.018 3.018 90.00 90.00 90.00
Fractional positions:
B: 0.000 0.500 0.500
B: 0.000 0.000 0.000
H: 0.500 0.500 0.500
B: 0.500 0.500 0.000
B: 0.500 0.000 0.500